Computed, not measured: MgTeMoN2 after structural relaxation at the PBE level of DFT.

Unit cell a=3.9526 b=3.9526 c=5.3846 alpha=90.00 beta=90.00 gamma=90.00
With the nearest neighbours (Å) after each atom.
Sites, in units of the cell vectors:
N: 0.0000 0.5000 0.0000  2 Mg 1.98
Te: 0.0000 0.0000 0.5000  2 Mg 2.69, 4 Mo 2.79
Mo: 0.5000 0.5000 0.5000  4 Te 2.79
Mg: 0.0000 0.0000 0.0000  4 N 1.98
N: 0.5000 0.0000 0.0000  2 Mg 1.98

Results
Energy relative to the elements, uncorrected: 1.726 eV/atom